First-principles (PBE with a Hubbard U) data for RbZr2WO8 after structural relaxation, as listed in Alexandria.

Summary:
Volume ... 14.43 Å³ per atom
Total DFT energy (no corrections) ... -93.06 eV per formula unit

Lattice parameters (Å, degrees): 4.9343 4.9236 7.1309 89.98 89.98 88.17
With the nearest neighbours (Å) after each atom.
Atoms (fractional coordinates):
O 0.7117 0.7128 0.0000  1 W 2.04, 2 Zr 2.25-2.26
O 0.7986 0.2030 0.8122  1 W 1.93, 1 Zr 2.07
O 0.7984 0.2028 0.1878  1 W 1.93, 1 Zr 2.07
O 0.6433 0.6484 0.4999  1 O 2.07, 2 Zr 2.15
O 0.2883 0.2872 0.0000  1 W 2.04, 2 Zr 2.25-2.26
O 0.2014 0.7970 0.1878  1 W 1.93, 1 Zr 2.07
O 0.2016 0.7972 0.8122  1 W 1.93, 1 Zr 2.07
O 0.3567 0.3516 0.5001  1 O 2.07, 2 Zr 2.15
Zr 0.4999 0.4999 0.7643  6 O 2.07-2.26
Zr 0.5001 0.5001 0.2357  6 O 2.07-2.26
W 0.0000 0.0000 0.0000  6 O 1.93-2.04
Rb 0.0000 0.0000 0.5000  6 O 2.51-2.62